(1)
VASP calculation (PBE) on an optimized crystal structure of BaTc2Ru.

The space group is C2/m (No. 12) and the conventional cell measures 5.4192, 9.8783 and 2.9193 Å, with angles of 90.00, 106.83 and 90.00 degrees. Symmetry generates all atoms from Ba at (0.0000, 0.0000, 0.0000), Tc at (0.2500, 0.2500, 0.5000) and Ru at (0.0000, 0.5000, 0.0000).

The final energy comes out at -53.4 eV/cell.

---

(2)
VASP calculation (PBE) on an optimized crystal structure of BaTcRu2.

The space group is I-4m2 (No. 119) and the conventional cell measures 4.7075, 4.7075 and 6.6783 Å, with angles of 90.00, 90.00 and 90.00 degrees. Symmetry generates all atoms from Ba at (0.0000, 0.0000, 0.0000), Tc at (0.0000, 0.5000, 0.2500), Ru at (0.0000, 0.0000, 0.5000) and Ru at (0.0000, 0.5000, 0.7500).

The final energy comes out at -52.1 eV/cell.